No. 1
# IrRhPb2F meta-GGA SCAN PBEsol geometry
# Formation energy from raw total energies (eV/atom): 0.277
# Calculated volume (Å³ per cell): 106.0
# D(E_F) (states/eV per cell): 2.92
data_IrRhPb2F
_symmetry_space_group_name_H-M 'P 4/m m m'
_symmetry_Int_Tables_number 123
_symmetry_space_group_name_Hall '-P 4 2'
_cell_length_a 5.223
_cell_length_b 5.223
_cell_length_c 3.887
_cell_angle_alpha 90.00
_cell_angle_beta 90.00
_cell_angle_gamma 90.00
loop_
_atom_site_label
_atom_site_type_symbol
_atom_site_fract_x
_atom_site_fract_y
_atom_site_fract_z
_atom_site_occupancy
Ir1 Ir 0.000 0.000 0.000 1
Rh1 Rh 0.500 0.500 0.500 1
Pb1 Pb 0.000 0.500 0.000 1
F1 F 0.000 0.000 0.500 1

---

No. 2
# ReHg2As meta-GGA SCAN PBEsol geometry
# Uncorrected energy (eV/atom): -55.810
# Calculated volume (Å³ per cell): 289.2
# D(E_F) (states/eV per cell): 10.52
data_ReHg2As
_symmetry_space_group_name_H-M 'F -4 3 m'
_symmetry_Int_Tables_number 216
_symmetry_space_group_name_Hall 'F -4 2 3'
_cell_length_a 6.613
_cell_length_b 6.613
_cell_length_c 6.613
_cell_angle_alpha 90.00
_cell_angle_beta 90.00
_cell_angle_gamma 90.00
loop_
_atom_site_label
_atom_site_type_symbol
_atom_site_fract_x
_atom_site_fract_y
_atom_site_fract_z
_atom_site_occupancy
Re1 Re 0.000 0.000 0.000 1
Hg1 Hg 0.000 0.000 0.500 1
Hg2 Hg 0.250 0.250 0.750 1
As1 As 0.250 0.250 0.250 1

---

No. 3
# Ta2PbW meta-GGA SCAN PBEsol geometry
# Uncorrected energy (eV/atom): -69.212
# Calculated volume (Å³ per cell): 230.9
# D(E_F) (states/eV per cell): 9.99
data_Ta2PbW
_symmetry_space_group_name_H-M 'R -3 m'
_symmetry_Int_Tables_number 166
_symmetry_space_group_name_Hall '-R 3 2"'
_cell_length_a 3.1643
_cell_length_b 3.1643
_cell_length_c 26.6315
_cell_angle_alpha 90.00
_cell_angle_beta 90.00
_cell_angle_gamma 120.00
loop_
_atom_site_label
_atom_site_type_symbol
_atom_site_fract_x
_atom_site_fract_y
_atom_site_fract_z
_atom_site_occupancy
Ta1 Ta 0.0000 0.0000 0.2404 1
Pb1 Pb 0.0000 0.0000 0.0000 1
W1 W 0.0000 0.0000 0.5000 1

---

No. 4
# Rb3Na meta-GGA SCAN PBEsol geometry
# Uncorrected energy (eV/atom): -16.589
# Calculated volume (Å³ per cell): 567.4
# D(E_F) (states/eV per cell): 5.64
data_Rb3Na
_symmetry_space_group_name_H-M 'P 63/m m c'
_symmetry_Int_Tables_number 194
_symmetry_space_group_name_Hall '-P 6c 2c'
_cell_length_a 9.3771
_cell_length_b 9.3771
_cell_length_c 7.4510
_cell_angle_alpha 90.00
_cell_angle_beta 90.00
_cell_angle_gamma 120.00
loop_
_atom_site_label
_atom_site_type_symbol
_atom_site_fract_x
_atom_site_fract_y
_atom_site_fract_z
_atom_site_occupancy
Rb1 Rb 0.1728 0.3456 0.2500 1
Na1 Na 0.3333 0.6667 0.7500 1

---

No. 5
# MgCrCoS4 meta-GGA SCAN PBEsol geometry
# Formation energy from raw total energies (eV/atom): -1.032
# Calculated volume (Å³ per cell): 480.6
data_MgCrCoS4
_symmetry_space_group_name_H-M 'I m m a'
_symmetry_Int_Tables_number 74
_symmetry_space_group_name_Hall '-I 2b 2'
_cell_length_a 6.971
_cell_length_b 6.980
_cell_length_c 9.877
_cell_angle_alpha 90.00
_cell_angle_beta 90.00
_cell_angle_gamma 90.00
loop_
_atom_site_label
_atom_site_type_symbol
_atom_site_fract_x
_atom_site_fract_y
_atom_site_fract_z
_atom_site_occupancy
Mg1 Mg 0.000 0.250 0.125 1
Cr1 Cr 0.000 0.000 0.500 1
Co1 Co 0.250 0.250 0.750 1
S1 S 0.000 0.041 0.739 1
S2 S 0.226 0.250 0.522 1

---

No. 6
# CaTa2B2 meta-GGA SCAN PBEsol geometry
# Uncorrected energy (eV/atom): -31.507
# Calculated volume (Å³ per cell): 164.3
# D(E_F) (states/eV per cell): 4.51
data_CaTa2B2
_symmetry_space_group_name_H-M 'I 4/m m m'
_symmetry_Int_Tables_number 139
_symmetry_space_group_name_Hall '-I 4 2'
_cell_length_a 4.224
_cell_length_b 4.224
_cell_length_c 9.208
_cell_angle_alpha 90.00
_cell_angle_beta 90.00
_cell_angle_gamma 90.00
loop_
_atom_site_label
_atom_site_type_symbol
_atom_site_fract_x
_atom_site_fract_y
_atom_site_fract_z
_atom_site_occupancy
Ca1 Ca 0.000 0.000 0.000 1
Ta1 Ta 0.000 0.000 0.320 1
B1 B 0.000 0.500 0.250 1

---

No. 7
# Ba2SiAu meta-GGA SCAN PBEsol geometry
# Relative energy among the computed polymorphs (kJ/mol of atoms): 1.2
# Formation energy from raw total energies (eV/atom): -0.614
# Calculated volume (Å³ per cell): 445.0
# D(E_F) (states/eV per cell): 8.94
data_Ba2SiAu
_symmetry_space_group_name_H-M 'R 3 m'
_symmetry_Int_Tables_number 160
_symmetry_space_group_name_Hall 'R 3 -2"'
_cell_length_a 4.4308
_cell_length_b 4.4308
_cell_length_c 26.1727
_cell_angle_alpha 90.00
_cell_angle_beta 90.00
_cell_angle_gamma 120.00
loop_
_atom_site_label
_atom_site_type_symbol
_atom_site_fract_x
_atom_site_fract_y
_atom_site_fract_z
_atom_site_occupancy
Ba1 Ba 0.0000 0.0000 0.0000 1
Ba2 Ba 0.0000 0.0000 0.1674 1
Si1 Si 0.0000 0.0000 0.7508 1
Au1 Au 0.0000 0.0000 0.4170 1

---

No. 8
# Al2TcCl meta-GGA SCAN PBEsol geometry
# Relative energy among the computed polymorphs (kJ/mol of atoms): 48.5
# Formation energy from raw total energies (eV/atom): -0.020
# Calculated volume (Å³ per cell): 125.0
# D(E_F) (states/eV per cell): 3.61
data_Al2TcCl
_symmetry_space_group_name_H-M 'C m m m'
_symmetry_Int_Tables_number 65
_symmetry_space_group_name_Hall '-C 2 2'
_cell_length_a 6.719
_cell_length_b 6.735
_cell_length_c 2.762
_cell_angle_alpha 90.00
_cell_angle_beta 90.00
_cell_angle_gamma 90.00
loop_
_atom_site_label
_atom_site_type_symbol
_atom_site_fract_x
_atom_site_fract_y
_atom_site_fract_z
_atom_site_occupancy
Al1 Al 0.250 0.250 0.000 1
Tc1 Tc 0.000 0.000 0.500 1
Cl1 Cl 0.000 0.500 0.500 1

---

No. 9
# Li2NiO2F meta-GGA SCAN PBEsol geometry
# Relative energy among the computed polymorphs (kJ/mol of atoms): 11.6
# Formation energy from raw total energies (eV/atom): -2.012
# Calculated volume (Å³ per cell): 410.8
data_Li2NiO2F
_symmetry_space_group_name_H-M 'C 1 c 1'
_symmetry_Int_Tables_number 9
_cell_length_a 7.768
_cell_length_b 6.000
_cell_length_c 9.629
_cell_angle_alpha 90.00
_cell_angle_beta 113.75
_cell_angle_gamma 90.00
loop_
_symmetry_equiv_pos_as_xyz
'x,y,z'
'x,-y,z+1/2'
'x+1/2,y+1/2,z'
'x+1/2,-y+1/2,z+1/2'
loop_
_atom_site_label
_atom_site_type_symbol
_atom_site_fract_x
_atom_site_fract_y
_atom_site_fract_z
_atom_site_occupancy
Li1 Li 0.000 0.071 0.000 1
Li2 Li 0.172 0.155 0.334 1
Li3 Li 0.325 0.329 0.149 1
Li4 Li 0.334 0.156 0.665 1
Ni1 Ni 0.163 0.373 0.823 1
Ni2 Ni 0.498 0.098 0.986 1
O1 O 0.075 0.202 0.650 1
O2 O 0.230 0.425 0.481 1
O3 O 0.406 0.341 0.846 1
O4 O 0.429 0.106 0.324 1
F1 F 0.073 0.305 0.138 1
F2 F 0.259 0.054 0.003 1

---

No. 10
# KCrMo2 meta-GGA SCAN PBEsol geometry
# Relative energy among the computed polymorphs (kJ/mol of atoms): 14.5
# Calculated volume (Å³ per cell): 214.4
# D(E_F) (states/eV per cell): 10.52
data_KCrMo2
_symmetry_space_group_name_H-M 'R -3 m'
_symmetry_Int_Tables_number 166
_symmetry_space_group_name_Hall '-R 3 2"'
_cell_length_a 2.8982
_cell_length_b 2.8982
_cell_length_c 29.4683
_cell_angle_alpha 90.00
_cell_angle_beta 90.00
_cell_angle_gamma 120.00
loop_
_atom_site_label
_atom_site_type_symbol
_atom_site_fract_x
_atom_site_fract_y
_atom_site_fract_z
_atom_site_occupancy
K1 K 0.0000 0.0000 0.0000 1
Cr1 Cr 0.0000 0.0000 0.5000 1
Mo1 Mo 0.0000 0.0000 0.2288 1

---

No. 11
# Sc2TcAs meta-GGA SCAN PBEsol geometry
# Uncorrected energy (eV/atom): -21.215
# Calculated volume (Å³ per cell): 71.8
# D(E_F) (states/eV per cell): 3.71
data_Sc2TcAs
_symmetry_space_group_name_H-M 'P 4 m m'
_symmetry_Int_Tables_number 99
_cell_length_a 3.592
_cell_length_b 3.592
_cell_length_c 5.563
_cell_angle_alpha 90.00
_cell_angle_beta 90.00
_cell_angle_gamma 90.00
loop_
_symmetry_equiv_pos_as_xyz
'x,y,z'
'-y,x,z'
'-x,-y,z'
'y,-x,z'
'-x,y,z'
'y,x,z'
'x,-y,z'
'-y,-x,z'
loop_
_atom_site_label
_atom_site_type_symbol
_atom_site_fract_x
_atom_site_fract_y
_atom_site_fract_z
_atom_site_occupancy
Sc1 Sc 0.000 0.000 0.000 1
Sc2 Sc 0.500 0.500 0.320 1
Tc1 Tc 0.000 0.000 0.504 1
As1 As 0.500 0.500 0.819 1

---

No. 12
# BaPd meta-GGA SCAN PBEsol geometry
# Uncorrected energy (eV/atom): -36.728
# Calculated volume (Å³ per cell): 235.2
# D(E_F) (states/eV per cell): 1.28
data_BaPd
_symmetry_space_group_name_H-M 'C m c m'
_symmetry_Int_Tables_number 63
_symmetry_space_group_name_Hall '-C 2c 2'
_cell_length_a 4.409
_cell_length_b 11.611
_cell_length_c 4.594
_cell_angle_alpha 90.00
_cell_angle_beta 90.00
_cell_angle_gamma 90.00
loop_
_atom_site_label
_atom_site_type_symbol
_atom_site_fract_x
_atom_site_fract_y
_atom_site_fract_z
_atom_site_occupancy
Ba1 Ba 0.000 0.140 0.250 1
Pd1 Pd 0.000 0.433 0.250 1

---

No. 13
# TcMo meta-GGA SCAN PBEsol geometry
# Relative energy among the computed polymorphs (kJ/mol of atoms): 3.2
# Calculated volume (Å³ per cell): 58.7
# D(E_F) (states/eV per cell): 3.84
data_TcMo
_symmetry_space_group_name_H-M 'C m m m'
_symmetry_Int_Tables_number 65
_symmetry_space_group_name_Hall '-C 2 2'
_cell_length_a 3.072
_cell_length_b 4.389
_cell_length_c 4.353
_cell_angle_alpha 90.00
_cell_angle_beta 90.00
_cell_angle_gamma 90.00
loop_
_atom_site_label
_atom_site_type_symbol
_atom_site_fract_x
_atom_site_fract_y
_atom_site_fract_z
_atom_site_occupancy
Tc1 Tc 0.000 0.000 0.000 1
Mo1 Mo 0.000 0.500 0.500 1